# PBE-GGA Re2OsW, optimized geometry
# Formation energy ... 1.673 eV/atom
# Calculated volume ... 22.9 Å³/atom
# ΔE to the lowest computed polymorph ... 1606 meV/atom
# D(E_F) ... 7.8 states/eV per cell
data_Re2OsW
_chemical_formula_sum 'Re8 Os4 W4'
_cell_length_a 5.6434
_cell_length_b 5.6434
_cell_length_c 11.5202
_cell_angle_alpha 90.00
_cell_angle_beta 90.00
_cell_angle_gamma 90.00
_space_group_name_H-M_alt 'I -4 2 d'
_space_group_IT_number 122
_space_group_name_Hall 'I -4 2bw'
loop_
_atom_site_label
_atom_site_fract_x
_atom_site_fract_y
_atom_site_fract_z
_atom_site_occupancy
Re1 0.2373 0.2500 0.1250 1
Os1 0.0000 0.0000 0.0000 1
W1 0.0000 0.0000 0.5000 1

# PBE-GGA ReOsW2, optimized geometry
# Formation energy ... 0.235 eV/atom
# Calculated volume ... 15.5 Å³/atom
# ΔE to the lowest computed polymorph ... 104 meV/atom
# D(E_F) ... 15.3 states/eV per cell
data_ReOsW2
_chemical_formula_sum 'Re3 Os3 W6'
_cell_length_a 2.7794
_cell_length_b 2.7794
_cell_length_c 27.8263
_cell_angle_alpha 90.00
_cell_angle_beta 90.00
_cell_angle_gamma 120.00
_space_group_name_H-M_alt 'R -3 m'
_space_group_IT_number 166
_space_group_name_Hall '-R 3 2"'
loop_
_atom_site_label
_atom_site_fract_x
_atom_site_fract_y
_atom_site_fract_z
_atom_site_occupancy
Re1 0.0000 0.0000 0.0000 1
Os1 0.0000 0.0000 0.5000 1
W1 0.0000 0.0000 0.2487 1